(1)
Computed, not measured: a geometry-optimized Ba2CeNbO6 structure at the GGA-PBE level of DFT.

a = 6.101 Å, b = 6.106 Å, c = 6.131 Å
α = 119.58°, β = 90.31°, γ = 119.93°
Site moments in Bohr magnetons follow the coordinates.
Element x y z (fractional)
Ce 0.000 0.500 0.500  0.67
O 0.235 0.500 0.205  -0.01
O 0.734 0.556 0.290  -0.01
Ba 0.248 0.995 0.244  0.01
O 0.266 0.444 0.710  -0.01
Ba 0.752 0.005 0.756  0.01
Nb 0.500 0.500 0.000  0.31
O 0.708 0.970 0.202  -0.01
O 0.765 0.500 0.795  -0.01
O 0.292 0.030 0.798  -0.01

Properties
SG: No. 2
magnetic moment: 1.05 μB/cell
calculated total energy: -7.92 eV per atom
ΔE_f (raw): -2.96 eV per atom

(2)
Computed, not measured: a geometry-optimized RbSn2 structure at the GGA-PBE level of DFT.

a = 4.726 Å, b = 5.646 Å, c = 8.712 Å
α = 90.00°, β = 105.74°, γ = 90.00°
Element x y z (fractional)
Rb 0.078 0.250 0.156
Sn 0.649 0.750 0.298
Sn 0.741 0.250 0.482
Sn 0.351 0.250 0.702
Sn 0.259 0.750 0.518
Rb 0.922 0.750 0.844

Properties
energy above the most stable polymorph in this dataset: 0 meV/atom
SG: No. 63
magnetic moment: 0.00 μB/cell
calculated total energy: -3.19 eV per atom
calculated formation energy: -0.1961 eV/atom